1.
## Be2ZnAg (PBE)

Data for Be2ZnAg after structural relaxation.

Geometry as POSCAR:
```
Be2ZnAg
1.0
2.858 0.000 0.000
0.000 2.858 0.000
0.000 0.000 5.905
Be Zn Ag
2 1 1
Direct
0.000 0.000 0.041 Be
0.500 0.500 0.218 Be
0.000 0.000 0.456 Zn
0.500 0.500 0.785 Ag
```



2.
## Be2ZnAg (PBE)

Data for Be2ZnAg after structural relaxation.

Geometry as POSCAR:
```
Be2ZnAg
1.0
4.133 0.000 0.000
2.067 3.580 0.000
2.067 1.193 3.375
Be Zn Ag
2 1 1
Direct
0.000 0.000 0.000 Be
0.250 0.250 0.250 Be
0.750 0.750 0.750 Zn
0.500 0.500 0.500 Ag
```



3.
## Be2ZnAg (PBE)

Data for Be2ZnAg after structural relaxation.

Geometry as POSCAR:
```
Be2ZnAg
1.0
4.827 0.013 0.025
2.230 4.281 -0.025
-3.098 -2.855 2.357
Be Zn Ag
2 1 1
Direct
0.984 0.984 0.000 Be
0.767 0.267 0.500 Be
0.513 0.513 0.000 Zn
0.236 0.736 0.500 Ag
```



Number 1: V 48.23 Å³ per cell, N(E_F) 1.335 states/eV/cell, formation energy from the elements 0.57 eV per formula unit. Number 2: V 49.94 Å³ per cell, N(E_F) 1.017 states/eV/cell, formation energy from the elements 1.06 eV per formula unit. Number 3: V 48.47 Å³ per cell, N(E_F) 0.761 states/eV/cell, formation energy from the elements 0.69 eV per formula unit.